DFT (PBE) results for a relaxed structure of KLiTm2Se4.

Output
Fermi-level density of states	0.00	states/eV per cell
E_tot	-4.928	eV per atom

Cell lengths 7.2258, 7.2258, 14.4563 Å; angles 90.00, 90.00, 146.70 degrees
Fractional positions:
1 K 0.1098 0.8902 0.7500
2 K 0.8902 0.1098 0.2500
3 Li 0.1663 0.8337 0.2500
4 Li 0.8337 0.1663 0.7500
5 Tm 0.3661 0.6339 0.5627
6 Tm 0.3661 0.6339 0.9373
7 Tm 0.6339 0.3661 0.0627
8 Tm 0.6339 0.3661 0.4373
9 Se 0.0000 0.0000 0.0000
10 Se 0.0000 0.0000 0.5000
11 Se 0.2646 0.7354 0.1073
12 Se 0.2646 0.7354 0.3927
13 Se 0.4298 0.5702 0.7500
14 Se 0.5702 0.4298 0.2500
15 Se 0.7354 0.2646 0.6073
16 Se 0.7354 0.2646 0.8927